Record 1
First-principles (PBE-GGA) data for an optimized crystal structure of TlTe2Se, as listed in the Alexandria database.

**Space group**: No. 160
**Total moment**: 0.000 μB/f.u.
**Formation energy (no corrections)**: -0.04 eV per atom
**D(E_F)**: 2.61 states/eV/cell

a = 7.389 Å, b = 7.389 Å, c = 7.389 Å
α = 36.35°, β = 36.35°, γ = 36.35°
Sites, in units of the cell vectors:
Tl (0.491, 0.491, 0.491)
Se (0.742, 0.742, 0.742)
Te (0.005, 0.005, 0.005)
Te (0.263, 0.263, 0.263)

Record 2
First-principles (PBE-GGA) data for an optimized crystal structure of Tm4TlTeSe2, as listed in the Alexandria database.

**Space group**: No. 10
**Total moment**: 0.000 μB/f.u.
**Formation energy (no corrections)**: -1.19 eV per atom
**D(E_F)**: 3.41 states/eV/cell

a = 4.061 Å, b = 7.328 Å, c = 7.318 Å
α = 71.71°, β = 90.00°, γ = 90.00°
Sites, in units of the cell vectors:
Tm (0.000, 0.768, 0.733)
Tm (0.500, 0.765, 0.248)
Tm (0.000, 0.232, 0.267)
Tm (0.500, 0.236, 0.752)
Tl (0.000, 0.500, 0.500)
Se (0.500, 0.000, 0.500)
Se (0.000, 0.000, 0.000)
Te (0.500, 0.500, 0.000)

Question: Look up the formation energy (no corrections) of the first one.
Answer: -0.04 eV per atom

Question: total moment of number 2 (Tm4TlTeSe2)?
Answer: 0.000 μB/f.u.